Below is a relaxed structure of AlAs2Ir, with properties calculated at the GGA-PBE level.

Cell: 2.855 4.793 10.200 Å, 90.00 90.00 90.00°
Space group Imm2 (No. 44)
Asymmetric unit:
Al1 0.000 0.000 0.000 [2 per cell]
As1 0.000 0.000 0.578 [2 per cell]
As2 0.000 0.500 0.750 [2 per cell]
Ir1 0.000 0.500 0.291 [2 per cell]

Output
ΔH_f (0 K)	0.204	eV per formula unit
mass density	8.8	Mg/m³
magnetic moment	0.0	μB/cell
energy	-5.42	eV per atom